Computed, not measured: a relaxed structure of NbAuS4 at the PBE level of DFT.

Uncorrected energy in eV per cell: -63.675
Spin magnetization in μB/f.u.: 0.00
Symmetry: C2/c
Density of states at the Fermi level in states/eV/cell: 0.7
Uncorrected formation energy in meV/atom: -330

POSCAR file:
```
NbAuS4
1.0
6.008 0.013 -1.316
-2.072 6.663 -2.423
0.082 0.002 7.392
Nb Au S
2 2 8
Direct
0.250 0.000 0.000 Nb
0.750 0.000 0.000 Nb
0.250 0.503 0.497 Au
0.750 0.497 0.503 Au
0.898 0.694 0.890 S
0.602 0.109 0.306 S
0.478 0.792 0.115 S
0.398 0.891 0.694 S
0.102 0.306 0.110 S
0.022 0.885 0.207 S
0.978 0.115 0.793 S
0.522 0.208 0.885 S
```